Record 1
{
  "formula": "AcPm2Zr",
  "functional": "PBE",
  "state": "relaxed",
  "dft_energy_ev_per_cell": -20.47,
  "space_group": "R-3m, No. 166",
  "relative_energy_ev_per_atom": 0.2507,
  "n_ef_per_ev_cell": 5.79,
  "crystal_system": "trigonal",
  "lattice_angstrom": [[1.7673, 1.0204, 12.4079], [-1.7673, 1.0204, 12.4079], [0.0000, -2.0407, 12.4079]],
  "species": ["Ac", "Pm", "Pm", "Zr"],
  "fractional_positions": [[0.0000, 0.0000, 0.0000], [0.4165, 0.4165, 0.4165], [0.5835, 0.5835, 0.5835], [0.5000, 0.5000, 0.5000]]
}

---

Record 2
{
  "formula": "AcPm2Zr",
  "functional": "PBE",
  "state": "relaxed",
  "dft_energy_ev_per_cell": -21.48,
  "space_group": "R3m, No. 160",
  "relative_energy_ev_per_atom": 0.0000,
  "n_ef_per_ev_cell": 4.75,
  "crystal_system": "trigonal",
  "lattice_angstrom": [[1.8081, 1.0439, 11.7525], [-1.8081, 1.0439, 11.7525], [0.0000, -2.0878, 11.7525]],
  "species": ["Ac", "Pm", "Pm", "Zr"],
  "fractional_positions": [[0.0000, 0.0000, 0.0000], [0.2413, 0.2413, 0.2413], [0.4252, 0.4252, 0.4252], [0.8333, 0.8333, 0.8333]]
}

---

Record 3
{
  "formula": "Ac3Pr8",
  "functional": "PBE",
  "state": "relaxed",
  "dft_energy_ev_per_cell": -44.85,
  "space_group": "R-3, No. 148",
  "relative_energy_ev_per_atom": 0.4923,
  "n_ef_per_ev_cell": 14.83,
  "crystal_system": "trigonal",
  "lattice_angstrom": [[5.1514, 2.9742, 4.7281], [-5.1514, 2.9742, 4.7281], [0.0000, -5.9484, 4.7281]],
  "species": ["Ac", "Ac", "Ac", "Pr", "Pr", "Pr", "Pr", "Pr", "Pr", "Pr", "Pr"],
  "fractional_positions": [[0.0000, 0.5000, 0.5000], [0.5000, 0.0000, 0.5000], [0.5000, 0.5000, 0.0000], [0.1022, 0.6993, 0.8635], [0.1365, 0.8978, 0.3007], [0.3007, 0.1365, 0.8978], [0.3946, 0.3946, 0.3946], [0.6054, 0.6054, 0.6054], [0.6993, 0.8635, 0.1022], [0.8635, 0.1022, 0.6993], [0.8978, 0.3007, 0.1365]]
}

---

Record 4
{
  "formula": "Ac2Pr",
  "functional": "PBE",
  "state": "relaxed",
  "dft_energy_ev_per_cell": -24.14,
  "space_group": "Fd-3m, No. 227",
  "relative_energy_ev_per_atom": 0.2896,
  "n_ef_per_ev_cell": 9.15,
  "crystal_system": "cubic",
  "lattice_angstrom": [[0.0000, 5.0916, 5.0916], [5.0916, 0.0000, 5.0916], [5.0916, 5.0916, 0.0000]],
  "species": ["Ac", "Ac", "Ac", "Ac", "Pr", "Pr"],
  "fractional_positions": [[0.0000, 0.0000, 0.0000], [0.0000, 0.0000, 0.5000], [0.0000, 0.5000, 0.0000], [0.5000, 0.0000, 0.0000], [0.3750, 0.3750, 0.3750], [0.6250, 0.6250, 0.6250]]
}

---

Record 5
{
  "formula": "AcPr5",
  "functional": "PBE",
  "state": "relaxed",
  "dft_energy_ev_per_cell": -27.90,
  "space_group": "Cmmm, No. 65",
  "relative_energy_ev_per_atom": 0.0000,
  "n_ef_per_ev_cell": 10.19,
  "crystal_system": "orthorhombic",
  "lattice_angstrom": [[2.6522, -7.9841, 0.0000], [2.6522, 7.9841, 0.0000], [0.0000, 0.0000, 5.3247]],
  "species": ["Ac", "Pr", "Pr", "Pr", "Pr", "Pr"],
  "fractional_positions": [[0.0000, 0.0000, 0.0000], [0.1685, 0.8315, 0.5000], [0.3304, 0.6696, 0.0000], [0.5000, 0.5000, 0.5000], [0.6696, 0.3304, 0.0000], [0.8315, 0.1685, 0.5000]]
}

---

Record 6
{
  "formula": "Ac7Pr",
  "functional": "PBE",
  "state": "relaxed",
  "dft_energy_ev_per_cell": -33.37,
  "space_group": "Fm-3m, No. 225",
  "n_ef_per_ev_cell": 14.84,
  "crystal_system": "cubic",
  "lattice_angstrom": [[0.0000, 5.6098, 5.6098], [5.6098, 0.0000, 5.6098], [5.6098, 5.6098, 0.0000]],
  "species": ["Ac", "Ac", "Ac", "Ac", "Ac", "Ac", "Ac", "Pr"],
  "fractional_positions": [[0.0000, 0.0000, 0.0000], [0.0000, 0.0000, 0.5000], [0.0000, 0.5000, 0.0000], [0.0000, 0.5000, 0.5000], [0.5000, 0.0000, 0.0000], [0.5000, 0.0000, 0.5000], [0.5000, 0.5000, 0.0000], [0.5000, 0.5000, 0.5000]]
}

---

Energy of formation from the pure elements values (in meV/atom) by entry order: 421, 171, 519, 309, 18, 21.